Si23Hg4: optimized geometry, PBE-GGA.

Output
Theoretical density in g cm⁻³: 4.4
DOS at the Fermi energy in states/eV/cell: 0.224
Uncorrected formation energy in eV/f.u.: 1.52
VASP energy in eV per atom: -4.6082

```
data_Si23Hg4
_cell_length_a 10.285
_cell_length_b 10.285
_cell_length_c 10.285
_cell_angle_alpha 90.00
_cell_angle_beta 90.00
_cell_angle_gamma 90.00
_symmetry_space_group_name_H-M 'P m -3 n'
_symmetry_Int_Tables_number 223
_symmetry_space_group_name_Hall '-P 4n 2 3'
loop_
_atom_site_label
_atom_site_type_symbol
_atom_site_fract_x
_atom_site_fract_y
_atom_site_fract_z
_atom_site_occupancy
Si1 Si 0.000 0.117 0.308 1
Si2 Si 0.000 0.250 0.500 1
Si3 Si 0.184 0.184 0.184 1
Hg1 Hg 0.000 0.000 0.000 1
Hg2 Hg 0.000 0.500 0.250 1
```

=====

SrYBi2: optimized geometry, PBE-GGA.

Output
DFT formation energy in eV/atom: -0.674
Theoretical density in g cm⁻³: 7.7
DOS at the Fermi energy in states/eV/cell: 1.649
Energy relative to the lowest polymorph listed for this composition in meV per atom: 107
VASP energy in eV per atom: -4.6512

```
data_SrYBi2
_cell_length_a 6.025
_cell_length_b 6.025
_cell_length_c 3.527
_cell_angle_alpha 90.00
_cell_angle_beta 90.00
_cell_angle_gamma 90.00
_symmetry_space_group_name_H-M 'P 4/m m m'
_symmetry_Int_Tables_number 123
_symmetry_space_group_name_Hall '-P 4 2'
loop_
_atom_site_label
_atom_site_type_symbol
_atom_site_fract_x
_atom_site_fract_y
_atom_site_fract_z
_atom_site_occupancy
Sr1 Sr 0.000 0.000 0.000 1
Y1 Y 0.500 0.500 0.000 1
Bi1 Bi 0.000 0.500 0.500 1
```

=====

ThUSeN2: optimized geometry, PBE-GGA.

Output
Theoretical density in g cm⁻³: 10.0
DOS at the Fermi energy in states/eV/cell: 8.821
Uncorrected formation energy in eV/f.u.: -8.09
VASP energy in eV per atom: -9.3875

```
data_ThUSeN2
_cell_length_a 3.916
_cell_length_b 3.916
_cell_length_c 12.531
_cell_angle_alpha 90.00
_cell_angle_beta 90.00
_cell_angle_gamma 90.00
_symmetry_space_group_name_H-M 'I 4 m m'
_symmetry_Int_Tables_number 107
_symmetry_space_group_name_Hall 'I 4 -2'
loop_
_atom_site_label
_atom_site_type_symbol
_atom_site_fract_x
_atom_site_fract_y
_atom_site_fract_z
_atom_site_occupancy
Th1 Th 0.000 0.000 0.000 1
U1 U 0.000 0.000 0.311 1
Se1 Se 0.000 0.000 0.650 1
N1 N 0.000 0.500 0.397 1
```

=====

Zn2InI: optimized geometry, PBE-GGA.

Output
Theoretical density in g cm⁻³: 5.3
DOS at the Fermi energy in states/eV/cell: 1.606
Uncorrected formation energy in eV/f.u.: 1.01
Energy relative to the lowest polymorph listed for this composition in meV per atom: 142
VASP energy in eV per atom: -1.4557

```
data_Zn2InI
_cell_length_a 7.734
_cell_length_b 7.734
_cell_length_c 7.734
_cell_angle_alpha 90.00
_cell_angle_beta 90.00
_cell_angle_gamma 90.00
_symmetry_space_group_name_H-M 'F m -3 m'
_symmetry_Int_Tables_number 225
_symmetry_space_group_name_Hall '-F 4 2 3'
loop_
_atom_site_label
_atom_site_type_symbol
_atom_site_fract_x
_atom_site_fract_y
_atom_site_fract_z
_atom_site_occupancy
Zn1 Zn 0.250 0.250 0.250 1
In1 In 0.000 0.000 0.000 1
I1 I 0.000 0.000 0.500 1
```

=====

> What is the VASP energy in the fourth record?

-1.4557 eV per atom

=====

> The highest VASP energy belongs to which entry?

Zn2InI